# AlAu2, PBEsol geometry, DFT SCAN
# DFT total energy, eV/atom: -49.11
# Energy relative to the elements, eV/atom: -0.4215
# Density of states at the Fermi level, states/eV/atom: 0.2057
# SG: No. 62
data_AlAu2
_chemical_formula_sum 'Al4 Au8'
_space_group_name_H-M_alt 'P 1'
_space_group_IT_number 1
_cell_length_a 5.5232
_cell_length_b 4.3929
_cell_length_c 8.0261
_cell_angle_alpha 90.00
_cell_angle_beta 90.00
_cell_angle_gamma 90.00
loop_
_space_group_symop_operation_xyz
'x,y,z'
loop_
_atom_site_label
_atom_site_fract_x
_atom_site_fract_y
_atom_site_fract_z
Al1 0.2038 0.2500 0.1008
Al2 0.2962 0.7500 0.6008
Al3 0.7038 0.2500 0.3992
Al4 0.7962 0.7500 0.8992
Au1 0.0163 0.2500 0.7906
Au2 0.1801 0.2500 0.4300
Au3 0.3199 0.7500 0.9300
Au4 0.4837 0.7500 0.2906
Au5 0.5163 0.2500 0.7094
Au6 0.6801 0.2500 0.0700
Au7 0.8199 0.7500 0.5700
Au8 0.9837 0.7500 0.2094

=====

# Al3Au, PBEsol geometry, DFT SCAN
# DFT total energy, eV/atom: -23.36
# Energy relative to the elements, eV/atom: -0.2609
# Density of states at the Fermi level, states/eV/atom: 0.4140
# SG: No. 65
data_Al3Au
_chemical_formula_sum 'Al3 Au1'
_space_group_name_H-M_alt 'P 1'
_space_group_IT_number 1
_cell_length_a 4.8105
_cell_length_b 4.8105
_cell_length_c 2.9533
_cell_angle_alpha 90.00
_cell_angle_beta 90.00
_cell_angle_gamma 109.96
loop_
_space_group_symop_operation_xyz
'x,y,z'
loop_
_atom_site_label
_atom_site_fract_x
_atom_site_fract_y
_atom_site_fract_z
Al1 0.0000 0.0000 0.0000
Al2 0.0000 0.5000 0.5000
Al3 0.5000 0.0000 0.5000
Au1 0.5000 0.5000 0.0000

=====

# AlAu2, PBEsol geometry, DFT SCAN
# DFT total energy, eV/atom: -49.06
# Energy relative to the elements, eV/atom: -0.3680
# Density of states at the Fermi level, states/eV/atom: 0.3073
# SG: No. 164
data_AlAu2
_chemical_formula_sum 'Al1 Au2'
_space_group_name_H-M_alt 'P 1'
_space_group_IT_number 1
_cell_length_a 2.9940
_cell_length_b 2.9940
_cell_length_c 6.3650
_cell_angle_alpha 90.00
_cell_angle_beta 90.00
_cell_angle_gamma 120.00
loop_
_space_group_symop_operation_xyz
'x,y,z'
loop_
_atom_site_label
_atom_site_fract_x
_atom_site_fract_y
_atom_site_fract_z
Al1 0.0000 0.0000 0.0000
Au1 0.3333 0.6667 0.3120
Au2 0.6667 0.3333 0.6880

=====

# AlAu4, PBEsol geometry, DFT SCAN
# DFT total energy, eV/atom: -57.03
# Energy relative to the elements, eV/atom: -0.1550
# Density of states at the Fermi level, states/eV/atom: 0.5511
# SG: No. 229
# Energy above the most stable polymorph in this dataset, meV/atom: 144
data_AlAu4
_chemical_formula_sum 'Al1 Au4'
_space_group_name_H-M_alt 'P 1'
_space_group_IT_number 1
_cell_length_a 4.9898
_cell_length_b 4.9898
_cell_length_c 4.9898
_cell_angle_alpha 109.47
_cell_angle_beta 109.47
_cell_angle_gamma 109.47
loop_
_space_group_symop_operation_xyz
'x,y,z'
loop_
_atom_site_label
_atom_site_fract_x
_atom_site_fract_y
_atom_site_fract_z
Al1 0.0000 0.0000 0.0000
Au1 0.0000 0.0000 0.5000
Au2 0.0000 0.5000 0.0000
Au3 0.5000 0.0000 0.0000
Au4 0.5000 0.5000 0.5000

=====

# AlAu5, PBEsol geometry, DFT SCAN
# DFT total energy, eV/atom: -59.12
# Energy relative to the elements, eV/atom: -0.1936
# Density of states at the Fermi level, states/eV/atom: 0.2422
# SG: No. 38
# Energy above the most stable polymorph in this dataset, meV/atom: 23
data_AlAu5
_chemical_formula_sum 'Al1 Au5'
_space_group_name_H-M_alt 'P 1'
_space_group_IT_number 1
_cell_length_a 4.6182
_cell_length_b 7.2406
_cell_length_c 7.2406
_cell_angle_alpha 24.32
_cell_angle_beta 90.00
_cell_angle_gamma 90.00
loop_
_space_group_symop_operation_xyz
'x,y,z'
loop_
_atom_site_label
_atom_site_fract_x
_atom_site_fract_y
_atom_site_fract_z
Al1 0.0000 0.0000 0.0000
Au1 0.0000 0.3417 0.3417
Au2 0.0000 0.6594 0.6594
Au3 0.5000 0.1191 0.1191
Au4 0.5000 0.4554 0.4554
Au5 0.5000 0.7862 0.7862

=====

# AlAu5, PBEsol geometry, DFT SCAN
# DFT total energy, eV/atom: -59.13
# Energy relative to the elements, eV/atom: -0.2052
# Density of states at the Fermi level, states/eV/atom: 0.3023
# SG: No. 65
# Energy above the most stable polymorph in this dataset, meV/atom: 12
data_AlAu5
_chemical_formula_sum 'Al1 Au5'
_space_group_name_H-M_alt 'P 1'
_space_group_IT_number 1
_cell_length_a 6.3919
_cell_length_b 6.3919
_cell_length_c 4.0813
_cell_angle_alpha 90.00
_cell_angle_beta 90.00
_cell_angle_gamma 143.47
loop_
_space_group_symop_operation_xyz
'x,y,z'
loop_
_atom_site_label
_atom_site_fract_x
_atom_site_fract_y
_atom_site_fract_z
Al1 0.0000 0.0000 0.0000
Au1 0.1650 0.8350 0.5000
Au2 0.3412 0.6588 0.0000
Au3 0.5000 0.5000 0.5000
Au4 0.6588 0.3412 0.0000
Au5 0.8350 0.1650 0.5000

=====

no.,spin magnetization (μB/f.u.)
1,0.0
2,0.0
3,0.0
4,0.0
5,0.0
6,0.0